{"formula": "PmGdPtPb", "functional": "PBE-GGA", "state": "relaxed", "lattice_angstrom": [[0.000, 3.730, 3.730], [3.730, 0.000, 3.730], [3.730, 3.730, 0.000]], "species": ["Pm", "Gd", "Pt", "Pb"], "fractional_positions": [[0.000, 0.000, 0.000], [0.500, 0.500, 0.500], [0.750, 0.750, 0.750], [0.250, 0.250, 0.250]], "space_group": "F-43m", "delta_e_f_mev_per_atom": -710}